# WSe2ClO, optimized geometry, DFT GGA+U
# Magnetization: 0.0 μB per formula unit
# Electronic total energy: -3.39 eV per atom
# Fermi-level density of states: 8.2 states/eV per cell
data_WSe2ClO
_chemical_formula_sum 'W1 Se2 Cl1 O1'
_symmetry_space_group_name_H-M 'P 4/m m m'
_symmetry_Int_Tables_number 123
_symmetry_space_group_name_Hall '-P 4 2'
_cell_length_a 4.9041
_cell_length_b 4.9041
_cell_length_c 4.7459
_cell_angle_alpha 90.00
_cell_angle_beta 90.00
_cell_angle_gamma 90.00
loop_
_atom_site_label
_atom_site_type_symbol
_atom_site_fract_x
_atom_site_fract_y
_atom_site_fract_z
W1 W 0.0000 0.0000 0.0000
Se1 Se 0.0000 0.5000 0.0000
Cl1 Cl 0.0000 0.0000 0.5000
O1 O 0.5000 0.5000 0.5000